# TaPbS3Cl

A relaxed TaPbS3Cl crystal (GGA-PBE, Alexandria).

Unit cell a=6.1460 b=5.5834 c=11.1206 alpha=75.46 beta=90.27 gamma=91.07
Sites, in units of the cell vectors:
Pb 0.2500 0.1517 0.6966
Pb 0.7500 0.8483 0.3034
S 0.2500 0.8620 0.2759
S 0.5729 0.2352 0.0672
S 0.4271 0.7648 0.9328
S 0.9271 0.6976 0.0672
S 0.7500 0.1380 0.7241
S 0.0729 0.3024 0.9328
Cl 0.2500 0.6900 0.6200
Cl 0.7500 0.3100 0.3800
Ta 0.7500 0.0315 0.9370
Ta 0.2500 0.9685 0.0630

## Properties
formation energy without anion corrections = -0.7805 eV per atom
uncorrected energy = -68.95 eV/cell
space-group type = C2/c, No. 15